[1]
Entry from Alexandria via LeMat-Bulk: a relaxed structure of Pa2BeGaNi6 (PBE).

Cell lengths 5.266, 6.901, 6.902 Å; angles 44.81, 67.67, 90.05 degrees
Sites, in units of the cell vectors:
1 Ni 0.763 0.238 0.957
2 Ni 0.763 0.721 0.474
3 Ni 0.237 0.279 0.526
4 Ni 0.237 0.762 0.043
5 Ni 0.717 0.762 0.046
6 Ni 0.283 0.238 0.954
7 Ga 0.500 0.500 0.000
8 Pa 0.238 0.763 0.526
9 Pa 0.762 0.237 0.474
10 Be 0.000 0.000 0.000

volume: 14.88 Å³ per atom
size of the total moment: 0.000 μB/atom
energy of formation: -0.2654 eV/atom
symmetry: C2/m, No. 12
DOS at the Fermi energy: 5.9 states/eV/f.u.
energy: -0.464 Ry per atom

***

[2]
Entry from Alexandria via LeMat-Bulk: a relaxed structure of YVZnAg2 (PBE).

Cell lengths 4.805, 4.814, 4.805 Å; angles 90.00, 90.00, 90.00 degrees
Sites, in units of the cell vectors:
1 Y 0.500 0.500 0.500
2 Zn 0.000 0.000 0.000
3 Ag 0.000 0.000 0.500
4 Ag 0.500 0.000 0.000
5 V 0.000 0.500 0.000

volume: 22.23 Å³ per atom
size of the total moment: 0.625 μB/atom
energy of formation: 0.4291 eV/atom
symmetry: P4/mmm, No. 123
excess energy over the best structure of this formula in the dataset: 0.00 eV/f.u.
DOS at the Fermi energy: 4.8 states/eV/f.u.
energy: -0.300 Ry per atom

***

[3]
Entry from Alexandria via LeMat-Bulk: a relaxed structure of AsPRhAu2 (PBE).

Cell lengths 3.586, 4.218, 6.950 Å; angles 103.17, 90.12, 114.88 degrees
Sites, in units of the cell vectors:
1 Rh 0.247 0.947 0.879
2 As 0.440 0.332 0.227
3 Au 0.891 0.239 0.648
4 Au 0.154 0.764 0.414
5 P 0.573 0.596 0.923

volume: 18.46 Å³ per atom
size of the total moment: 0.000 μB/atom
energy of formation: -0.0672 eV/atom
symmetry: P1, No. 1
excess energy over the best structure of this formula in the dataset: 0.30 eV/f.u.
DOS at the Fermi energy: 1.9 states/eV/f.u.
energy: -0.357 Ry per atom

***

[4]
Entry from Alexandria via LeMat-Bulk: a relaxed structure of Cs3Na3HgI8 (PBE).

Cell lengths 9.642, 9.650, 10.435 Å; angles 117.57, 90.00, 119.97 degrees
Sites, in units of the cell vectors:
1 I 0.734 0.469 0.702
2 I 0.221 0.442 0.691
3 I 0.749 0.971 0.691
4 I 0.266 0.531 0.298
5 I 0.251 0.029 0.309
6 I 0.221 0.971 0.691
7 I 0.779 0.558 0.309
8 I 0.779 0.029 0.309
9 Na 0.500 0.500 0.500
10 Na 0.000 0.500 0.500
11 Na 0.500 0.000 0.500
12 Cs 0.000 0.500 0.000
13 Cs 0.500 0.500 0.000
14 Cs 0.000 0.000 0.000
15 Hg 0.000 0.000 0.500

volume: 47.40 Å³ per atom
size of the total moment: 0.000 μB/atom
formation energy (no corrections): -1.139 eV per atom
symmetry: C2/m, No. 12
energy: -0.178 Ry per atom

***

[5]
Entry from Alexandria via LeMat-Bulk: a relaxed structure of TaZn3Au (PBE).

Cell lengths 4.696, 4.696, 4.696 Å; angles 90.00, 90.00, 90.00 degrees
Sites, in units of the cell vectors:
1 Zn 0.000 0.000 0.500
2 Zn 0.000 0.500 0.000
3 Zn 0.500 0.000 0.000
4 Ta 0.500 0.500 0.500
5 Au 0.000 0.000 0.000

volume: 20.72 Å³ per atom
size of the total moment: 0.000 μB/atom
energy of formation: 0.9625 eV/atom
symmetry: Pm-3m, No. 221
excess energy over the best structure of this formula in the dataset: 0.00 eV/f.u.
DOS at the Fermi energy: 4.1 states/eV/f.u.
energy: -0.208 Ry per atom

***

[6]
Entry from Alexandria via LeMat-Bulk: a relaxed structure of ScAlSe2 (PBE).

Cell lengths 3.480, 3.517, 6.746 Å; angles 74.32, 90.00, 90.00 degrees
Sites, in units of the cell vectors:
1 Se 0.000 0.351 0.513
2 Se 0.000 0.149 0.987
3 Al 0.500 0.250 0.250
4 Sc 0.500 0.750 0.750

volume: 19.88 Å³ per atom
size of the total moment: 0.000 μB/atom
formation energy (no corrections): -0.853 eV per atom
symmetry: P2/m, No. 10
DOS at the Fermi energy: 1.7 states/eV/f.u.
energy: -0.376 Ry per atom

***

[7]
Entry from Alexandria via LeMat-Bulk: a relaxed structure of ZrScSe (PBE).

Cell lengths 3.505, 5.797, 12.368 Å; angles 90.00, 90.00, 90.00 degrees
Sites, in units of the cell vectors:
1 Sc 0.000 0.000 0.805
2 Sc 0.500 0.500 0.695
3 Sc 0.500 0.500 0.305
4 Sc 0.000 0.000 0.195
5 Se 0.500 0.000 0.364
6 Se 0.000 0.500 0.864
7 Se 0.500 0.000 0.636
8 Se 0.000 0.500 0.136
9 Zr 0.500 0.758 0.000
10 Zr 0.000 0.742 0.500
11 Zr 0.500 0.242 0.000
12 Zr 0.000 0.258 0.500

volume: 20.94 Å³ per atom
size of the total moment: 0.000 μB/atom
formation energy (no corrections): -0.940 eV per atom
symmetry: Immm, No. 71
excess energy over the best structure of this formula in the dataset: 0.21 eV/f.u.
DOS at the Fermi energy: 2.2 states/eV/f.u.
energy: -0.519 Ry per atom

***

[8]
Entry from Alexandria via LeMat-Bulk: a relaxed structure of LiLaPrDy (PBE).

Cell lengths 5.650, 5.650, 5.650 Å; angles 60.00, 60.00, 60.00 degrees
Sites, in units of the cell vectors:
1 Dy 0.500 0.500 0.500
2 Li 0.000 0.000 0.000
3 La 0.250 0.250 0.250
4 Pr 0.750 0.750 0.750

volume: 31.88 Å³ per atom
size of the total moment: 0.000 μB/atom
energy of formation: 0.1489 eV/atom
symmetry: F-43m, No. 216
DOS at the Fermi energy: 5.0 states/eV/f.u.
energy: -0.287 Ry per atom